(i)
{
  "formula": "TmPd3Pt",
  "functional": "PBE-GGA",
  "state": "relaxed",
  "cell": [[7.064, 0.000, 0.000], [0.000, 7.064, 0.000], [0.000, 0.000, 7.064]],
  "species": ["Tm", "Tm", "Tm", "Tm", "Pd", "Pd", "Pd", "Pd", "Pd", "Pd", "Pd", "Pd", "Pd", "Pd", "Pd", "Pd", "Pt", "Pt", "Pt", "Pt"],
  "fractional_positions": [[0.697, 0.697, 0.697], [0.803, 0.303, 0.197], [0.303, 0.197, 0.803], [0.197, 0.803, 0.303], [0.125, 0.198, 0.443], [0.375, 0.802, 0.943], [0.875, 0.698, 0.057], [0.443, 0.125, 0.198], [0.625, 0.302, 0.557], [0.943, 0.375, 0.802], [0.057, 0.875, 0.698], [0.557, 0.625, 0.302], [0.198, 0.443, 0.125], [0.698, 0.057, 0.875], [0.302, 0.557, 0.625], [0.802, 0.943, 0.375], [0.048, 0.048, 0.048], [0.452, 0.952, 0.548], [0.952, 0.548, 0.452], [0.548, 0.452, 0.952]],
  "density_g_cm3": 12.87,
  "sg": "P2_13, No. 198",
  "magnetic_moment_mub_per_atom": 0.000
}

---

(ii)
{
  "formula": "TmPd3Pt",
  "functional": "PBE-GGA",
  "state": "relaxed",
  "cell": [[4.966, 1.249, 0.000], [1.850, 5.035, 0.000], [0.000, 0.000, 7.878]],
  "species": ["Tm", "Tm", "Pd", "Pd", "Pd", "Pd", "Pd", "Pd", "Pt", "Pt"],
  "fractional_positions": [[0.500, 0.000, 0.705], [0.000, 0.500, 0.295], [0.332, 0.852, 0.374], [0.168, 0.648, 0.626], [0.832, 0.352, 0.626], [0.668, 0.148, 0.374], [0.000, 0.000, 0.924], [0.500, 0.500, 0.076], [0.500, 0.000, 0.081], [0.000, 0.500, 0.919]],
  "density_g_cm3": 12.70,
  "sg": "P2/c, No. 13",
  "magnetic_moment_mub_per_atom": 0.000
}

---

So which one is most stable? That would be (ii), about 16 meV per atom below the next structure.

---

(i)
{
  "formula": "TmPdPt4",
  "functional": "PBE-GGA",
  "state": "relaxed",
  "cell": [[0.041, -1.793, 4.593], [-1.411, -4.774, 0.023], [3.468, -3.623, -0.508]],
  "species": ["Tm", "Pd", "Pt", "Pt", "Pt", "Pt"],
  "fractional_positions": [[0.000, 0.000, 0.000], [0.500, 0.500, 0.000], [0.000, 0.336, 0.329], [0.500, 0.176, 0.648], [0.000, 0.664, 0.671], [0.500, 0.824, 0.352]],
  "density_g_cm3": 17.40,
  "sg": "C2/m, No. 12",
  "magnetic_moment_mub_per_atom": 0.000
}

---

(ii)
{
  "formula": "TmPdPt4",
  "functional": "PBE-GGA",
  "state": "relaxed",
  "cell": [[-2.155, 0.820, -4.781], [-2.835, -3.837, -2.326], [-5.260, 0.512, -0.488]],
  "species": ["Tm", "Pd", "Pt", "Pt", "Pt", "Pt"],
  "fractional_positions": [[0.250, 0.250, 0.250], [0.000, 0.000, 0.000], [0.625, 0.625, 0.124], [0.625, 0.124, 0.625], [0.625, 0.625, 0.625], [0.124, 0.625, 0.625]],
  "density_g_cm3": 16.58,
  "sg": "F-43m, No. 216",
  "magnetic_moment_mub_per_atom": 0.000
}

---

So which one is most stable? That would be (ii), about 52 meV per atom below the next structure.

---

(i)
{
  "formula": "Tm6Pd5Pt",
  "functional": "PBE-GGA",
  "state": "relaxed",
  "cell": [[-3.999, 0.368, -5.652], [-6.751, -0.011, 1.902], [-3.291, 6.036, 1.285]],
  "species": ["Tm", "Tm", "Tm", "Tm", "Tm", "Tm", "Pd", "Pd", "Pd", "Pd", "Pd", "Pt"],
  "fractional_positions": [[0.755, 0.081, 0.330], [0.245, 0.590, 0.330], [0.254, 0.243, 0.000], [0.746, 0.757, 0.000], [0.755, 0.410, 0.670], [0.245, 0.919, 0.670], [0.500, 0.171, 0.659], [0.000, 0.336, 0.328], [0.500, 0.500, 0.000], [0.000, 0.664, 0.672], [0.500, 0.829, 0.341], [0.000, 0.000, 0.000]],
  "density_g_cm3": 10.42,
  "sg": "C2/m, No. 12",
  "magnetic_moment_mub_per_atom": 0.000
}

---

(ii)
{
  "formula": "Tm6Pd5Pt",
  "functional": "PBE-GGA",
  "state": "relaxed",
  "cell": [[-2.322, -3.046, 3.079], [-3.976, -2.196, -5.171], [3.745, -6.775, -0.001]],
  "species": ["Tm", "Tm", "Tm", "Tm", "Tm", "Tm", "Pd", "Pd", "Pd", "Pd", "Pd", "Pt"],
  "fractional_positions": [[0.835, 0.751, 0.331], [0.835, 0.249, 0.331], [0.500, 0.247, 0.000], [0.500, 0.753, 0.000], [0.165, 0.751, 0.669], [0.165, 0.249, 0.669], [0.665, 0.500, 0.669], [0.330, 0.000, 0.341], [0.000, 0.500, 0.000], [0.670, 0.000, 0.659], [0.335, 0.500, 0.331], [0.000, 0.000, 0.000]],
  "density_g_cm3": 11.63,
  "sg": "P2/m, No. 10",
  "magnetic_moment_mub_per_atom": 0.000
}

---

So which one is most stable? That would be (ii), about 175 meV per atom below the next structure.